# 1
Below is crystalline ScCo3B at its relaxed geometry, with properties calculated at the PBE level.

Cell lengths 4.1673, 4.6727, 7.2525 Å; angles 90.00, 106.70, 90.00 degrees
Fractional coordinates of all 10 atoms:
Sc1 0.1793 0.2500 0.3585
Sc2 0.8207 0.7500 0.6415
Co1 0.1232 0.2500 0.7360
Co2 0.6128 0.2500 0.7360
Co3 0.3872 0.7500 0.2640
Co4 0.8768 0.7500 0.2640
Co5 0.0000 0.0000 0.0000
Co6 0.0000 0.5000 0.0000
B1 0.4968 0.2500 0.9936
B2 0.5032 0.7500 0.0064

- total magnetization (μB/f.u.) = 2.15
- energy of formation from the pure elements (eV per atom) = 0.36



# 2
Below is crystalline ScCoB3 at its relaxed geometry, with properties calculated at the PBE level.

Cell lengths 3.3388, 3.0489, 9.1122 Å; angles 90.00, 100.56, 90.00 degrees
Fractional coordinates of all 10 atoms:
Sc1 0.9232 0.7500 0.8463
Sc2 0.0768 0.2500 0.1537
Co1 0.2070 0.7500 0.4140
Co2 0.7930 0.2500 0.5860
B1 0.6293 0.7500 0.2586
B2 0.3707 0.2500 0.7414
B3 0.5250 0.7500 0.0499
B4 0.4750 0.2500 0.9501
B5 0.6806 0.2500 0.3612
B6 0.3194 0.7500 0.6388

- total magnetization (μB/f.u.) = 0.46
- polymorph energy (0 for the lowest one) (meV per atom) = 0
- energy of formation from the pure elements (eV per atom) = -0.57



Which formula does entry 1 have?
ScCo3B